1.
Computed, not measured: crystalline SrTaCu at its relaxed geometry at the GGA-PBE level of DFT.

CIF file:
```
data_SrTaCu
_cell_length_a 3.4214
_cell_length_b 5.3542
_cell_length_c 8.3629
_cell_angle_alpha 86.02
_cell_angle_beta 89.92
_cell_angle_gamma 71.39
_symmetry_space_group_name_H-M 'P 1'
_symmetry_Int_Tables_number 1
loop_
_symmetry_equiv_pos_as_xyz
'x,y,z'
loop_
_atom_site_label
_atom_site_fract_x
_atom_site_fract_y
_atom_site_fract_z
Sr1 0.0000 0.0000 0.0000
Sr2 0.2296 0.5418 0.6823
Ta1 0.6318 0.7389 0.3389
Ta2 0.9198 0.1653 0.3934
Cu1 0.2903 0.4239 0.1889
Cu2 0.4999 0.0043 0.6254
```

## Properties
Energy above the most stable polymorph in this dataset: 0.178 eV per atom
Energy of formation from the pure elements: 435 meV/atom

***

2.
Computed, not measured: crystalline SrTaCu at its relaxed geometry at the GGA-PBE level of DFT.

CIF file:
```
data_SrTaCu
_cell_length_a 13.2057
_cell_length_b 3.2088
_cell_length_c 8.4391
_cell_angle_alpha 90.00
_cell_angle_beta 129.00
_cell_angle_gamma 90.00
_symmetry_space_group_name_H-M 'C 1 m 1'
_symmetry_Int_Tables_number 8
loop_
_symmetry_equiv_pos_as_xyz
'x,y,z'
'x,-y,z'
'x+1/2,y+1/2,z'
'x+1/2,-y+1/2,z'
loop_
_atom_site_label
_atom_site_fract_x
_atom_site_fract_y
_atom_site_fract_z
Sr1 0.0000 0.0000 0.0000
Sr2 0.2019 0.0000 0.5420
Ta1 0.9999 0.5000 0.6267
Ta2 0.3142 0.5000 0.2938
Cu1 0.2092 0.0000 0.9356
Cu2 0.4508 0.0000 0.2541
```

## Properties
Energy above the most stable polymorph in this dataset: 0.278 eV per atom
Energy of formation from the pure elements: 535 meV/atom